A plane-wave DFT calculation with PBE was carried out for Nd2Sm3Ho6Pb after structural relaxation.

The calculation puts the formation energy at -0.068 eV per atom.

The space group is C2/m (No. 12) and the conventional cell measures 6.137, 10.631 and 11.769 Å, with angles of 90.00, 100.07 and 90.00 degrees. The inequivalent atoms are Nd at (0.000, 0.166, 0.000), Sm at (0.000, 0.000, 0.500), Sm at (0.000, 0.332, 0.500), Ho at (0.244, 0.500, 0.751), Ho at (0.245, 0.337, 0.248) and Pb at (0.000, 0.500, 0.000).

***

A plane-wave DFT calculation with PBE was carried out for Rb3Cu2Te4 after structural relaxation.

The calculation puts the formation energy without anion corrections at -48.7 kJ/mol of atoms. For the offset from the most stable computed form, the calculation gives 0.017 eV per atom.

The space group is C2/m (No. 12) and the conventional cell measures 13.512, 4.979 and 9.292 Å, with angles of 90.00, 104.02 and 90.00 degrees. The inequivalent atoms are Rb at (0.000, 0.000, 0.000), Rb at (0.098, 0.500, 0.676), Cu at (0.216, 0.500, 0.356), Te at (0.136, 0.000, 0.391) and Te at (0.223, 0.500, 0.073).

***

A plane-wave DFT calculation with PBE was carried out for Cs3AgI2 after structural relaxation.

The calculation puts the formation energy without anion corrections at -96.5 kJ/mol of atoms.

The space group is C2/m (No. 12) and the conventional cell measures 9.572, 16.579 and 9.593 Å, with angles of 90.00, 109.43 and 90.00 degrees. The inequivalent atoms are Cs at (0.249, 0.000, 0.249), Cs at (0.250, 0.167, 0.751), Ag at (0.000, 0.167, 0.000), I at (0.000, 0.000, 0.500), I at (0.000, 0.334, 0.500) and I at (0.000, 0.500, 0.000).

***

A plane-wave DFT calculation with PBE was carried out for NbSbOsI2 after structural relaxation.

The calculation puts the formation energy without anion corrections at 125.7 kJ/mol of atoms. For the offset from the most stable computed form, the calculation gives 0.000 eV per atom.

The space group is P4/mmm (No. 123) and the conventional cell measures 5.480, 5.480 and 4.997 Å, with angles of 90.00, 90.00 and 90.00 degrees. The inequivalent atoms are Nb at (0.000, 0.000, 0.000), Sb at (0.500, 0.500, 0.000), Os at (0.500, 0.500, 0.500) and I at (0.000, 0.500, 0.500).

***

A plane-wave DFT calculation with PBE was carried out for RbSrAg3 after structural relaxation.

The calculation puts the formation energy at 0.311 eV per atom. For the offset from the most stable computed form, the calculation gives 0.000 eV per atom.

The space group is Pm-3m (No. 221) and the conventional cell measures 6.124, 6.124 and 6.124 Å, with angles of 90.00, 90.00 and 90.00 degrees. The inequivalent atoms are Rb at (0.000, 0.000, 0.000), Sr at (0.500, 0.500, 0.500) and Ag at (0.000, 0.500, 0.500).

***

A plane-wave DFT calculation with PBE was carried out for MgReHg after structural relaxation.

The calculation puts the formation energy at 0.636 eV per atom. For the offset from the most stable computed form, the calculation gives 0.604 eV per atom.

The space group is Imm2 (No. 44) and the conventional cell measures 2.790, 4.232 and 9.076 Å, with angles of 90.00, 90.00 and 90.00 degrees. The inequivalent atoms are Mg at (0.000, 0.000, 0.000), Re at (0.000, 0.000, 0.655) and Hg at (0.000, 0.000, 0.329).

***

Copy entry 3 word for word.
A plane-wave DFT calculation with PBE was carried out for Cs3AgI2 after structural relaxation.

The calculation puts the formation energy without anion corrections at -96.5 kJ/mol of atoms.

The space group is C2/m (No. 12) and the conventional cell measures 9.572, 16.579 and 9.593 Å, with angles of 90.00, 109.43 and 90.00 degrees. The inequivalent atoms are Cs at (0.249, 0.000, 0.249), Cs at (0.250, 0.167, 0.751), Ag at (0.000, 0.167, 0.000), I at (0.000, 0.000, 0.500), I at (0.000, 0.334, 0.500) and I at (0.000, 0.500, 0.000).